No. 1
First-principles (PBE) data for crystalline SrCuPdF6 at its relaxed geometry, as listed in the Alexandria database.

POSCAR file:
```
SrCuPdF6
1.0
5.5584 0.0000 0.0000
-2.7792 4.8137 0.0000
0.0000 0.0000 5.2235
Sr Cu Pd F
1 1 1 6
direct
0.0000 0.0000 0.0000 Sr
0.6667 0.3333 0.5000 Cu
0.3333 0.6667 0.5000 Pd
0.3649 0.0207 0.7190 F
0.3649 0.3442 0.2810 F
0.6558 0.0207 0.2810 F
0.6558 0.6351 0.7190 F
0.9793 0.3442 0.7190 F
0.9793 0.6351 0.2810 F
```

Results
density of states at the Fermi level: 6.55 states/eV/f.u.
SG: No. 149
crystal system: trigonal
total energy: -4.616 eV per atom
raw formation energy: -2150 meV per atom

=====

No. 2
First-principles (PBE) data for crystalline YTlSe2 at its relaxed geometry, as listed in the Alexandria database.

POSCAR file:
```
YTlSe2
1.0
4.2746 0.0000 0.0000
0.0000 4.2746 0.0000
0.0000 0.0000 6.0175
Y Tl Se
1 1 2
direct
0.0000 0.0000 0.0000 Y
0.5000 0.5000 0.5000 Tl
0.0000 0.0000 0.5000 Se
0.5000 0.5000 0.0000 Se
```

Results
density of states at the Fermi level: 1.45 states/eV/f.u.
SG: No. 123
crystal system: tetragonal
total energy: -5.055 eV per atom
raw formation energy: -1105 meV per atom

=====

No. 3
First-principles (PBE) data for crystalline Mg2AlZn2Pt5 at its relaxed geometry, as listed in the Alexandria database.

POSCAR file:
```
Mg2AlZn2Pt5
1.0
9.3561 0.0000 0.0000
0.0000 9.3561 0.0000
0.0000 0.0000 3.6869
Mg Al Zn Pt
4 2 4 10
direct
0.1704 0.3296 0.0000 Mg
0.3296 0.8296 0.0000 Mg
0.6704 0.1704 0.0000 Mg
0.8296 0.6704 0.0000 Mg
0.0000 0.0000 0.0000 Al
0.5000 0.5000 0.0000 Al
0.1282 0.6282 0.0000 Zn
0.3718 0.1282 0.0000 Zn
0.6282 0.8718 0.0000 Zn
0.8718 0.3718 0.0000 Zn
0.0000 0.5000 0.5000 Pt
0.0768 0.8060 0.5000 Pt
0.1940 0.0768 0.5000 Pt
0.3060 0.5768 0.5000 Pt
0.4232 0.3060 0.5000 Pt
0.5000 0.0000 0.5000 Pt
0.5768 0.6940 0.5000 Pt
0.6940 0.4232 0.5000 Pt
0.8060 0.9232 0.5000 Pt
0.9232 0.1940 0.5000 Pt
```

Results
calculated formation energy: -0.667 eV per atom
density of states at the Fermi level: 3.16 states/eV/f.u.
SG: No. 127
crystal system: tetragonal
total energy: -4.635 eV per atom

=====

No. 4
First-principles (PBE) data for crystalline TmScTlHg at its relaxed geometry, as listed in the Alexandria database.

POSCAR file:
```
TmScTlHg
1.0
7.2825 0.0000 0.0000
0.0000 7.2825 0.0000
0.0000 0.0000 7.2825
Tm Sc Tl Hg
4 4 4 4
direct
0.0000 0.0000 0.0000 Tm
0.0000 0.5000 0.5000 Tm
0.5000 0.0000 0.5000 Tm
0.5000 0.5000 0.0000 Tm
0.0000 0.0000 0.5000 Sc
0.0000 0.5000 0.0000 Sc
0.5000 0.0000 0.0000 Sc
0.5000 0.5000 0.5000 Sc
0.2500 0.2500 0.2500 Tl
0.2500 0.7500 0.7500 Tl
0.7500 0.2500 0.7500 Tl
0.7500 0.7500 0.2500 Tl
0.2500 0.2500 0.7500 Hg
0.2500 0.7500 0.2500 Hg
0.7500 0.2500 0.2500 Hg
0.7500 0.7500 0.7500 Hg
```

Results
calculated formation energy: -0.357 eV per atom
density of states at the Fermi level: 4.20 states/eV/f.u.
SG: No. 216
crystal system: cubic
total energy: -3.725 eV per atom

=====

| no. | magnetic moment (Bohr magnetons per cell) |
| --- | --- |
| 1 | 3.1 |
| 2 | 0.0 |
| 3 | 0.0 |
| 4 | 2.3 |